Entry from the Alexandria database: a relaxed structure of Tl2AgGe2 (PBE).

## Properties
E above lowest polymorph   0.0523 eV/atom
M_tot   0.00 μB per formula unit

abc: 3.703 3.703 9.421
angles: 78.67 78.67 90.00
Fractional positions:
Ag (0.000, 0.000, 0.000)
Ge (0.250, 0.750, 0.500)
Ge (0.750, 0.250, 0.500)
Tl (0.400, 0.400, 0.199)
Tl (0.600, 0.600, 0.801)